[1]
Entry from Alexandria: TiBeTe2N after structural relaxation (PBE).

The space group is P4/mmm (No. 123) and the conventional cell measures 5.430, 5.430 and 3.060 Å, with angles of 90.00, 90.00 and 90.00 degrees. The asymmetric unit holds Ti at (0.000, 0.000, 0.000), Be at (0.500, 0.500, 0.500), Te at (0.000, 0.500, 0.500) and N at (0.500, 0.500, 0.000).

Its raw total energy is -4.99 eV per atom. For the formation energy from raw total energies, the calculation gives 253 meV/atom. Its volume is 90.2 Å³ per cell.

[2]
Entry from Alexandria: UCrCu4 after structural relaxation (PBE).

The space group is F-43m (No. 216) and the conventional cell measures 7.062, 7.062 and 7.062 Å, with angles of 90.00, 90.00 and 90.00 degrees. The asymmetric unit holds U at (0.000, 0.000, 0.000), Cr at (0.250, 0.250, 0.750) and Cu at (0.124, 0.124, 0.376).

Its raw total energy is -6.02 eV per atom. The calculated formation energy comes out at 194 meV per atom. Its volume is 352.2 Å³ per cell.

[3]
Entry from Alexandria: Zn2GeAu after structural relaxation (PBE).

The space group is P4/mmm (No. 123) and the conventional cell measures 3.019, 3.019 and 7.525 Å, with angles of 90.00, 90.00 and 90.00 degrees. The asymmetric unit holds Zn at (0.000, 0.000, 0.240), Ge at (0.500, 0.500, 0.500) and Au at (0.500, 0.500, 0.000).

Its raw total energy is -2.58 eV per atom. The calculated formation energy comes out at 35 meV per atom. Its volume is 68.6 Å³ per cell.

[4]
Entry from Alexandria: RuICl2 after structural relaxation (PBE).

The space group is R-3m (No. 166, hexagonal axes) and the conventional cell measures 3.5592, 3.5592 and 33.2562 Å, with angles of 90.00, 90.00 and 120.00 degrees. The asymmetric unit holds Ru at (0.0000, 0.0000, 0.0000), I at (0.0000, 0.0000, 0.5000) and Cl at (0.0000, 0.0000, 0.3708).

Its raw total energy is -3.74 eV per atom. For the formation energy from raw total energies, the calculation gives -114 meV/atom. Its volume is 364.9 Å³ per cell.